Entry 1:
The following is a GGA-PBE calculation of In2SnPd7 after structural relaxation, from Alexandria via LeMat-Bulk.

Cell: 4.201 7.858 7.858 Å, 123.72 90.00 90.00°
Atoms (fractional coordinates):
1 In 0.500 0.305 0.695
2 In 0.500 0.695 0.305
3 Pd 0.500 0.083 0.284
4 Pd 0.500 0.917 0.716
5 Pd 0.000 0.191 0.809
6 Pd 0.000 0.809 0.191
7 Pd 0.500 0.500 0.500
8 Pd 0.500 0.284 0.083
9 Pd 0.500 0.716 0.917
10 Sn 0.000 0.000 0.000

Calculated formation energy in eV/atom: -0.034
Calculated volume in Å³/atom: 21.57
Magnetization in μB/atom: 0.000

Entry 2:
The following is a GGA-PBE calculation of LaRe after structural relaxation, from Alexandria via LeMat-Bulk.

Cell: 4.351 4.351 13.953 Å, 90.00 90.00 120.00°
Atoms (fractional coordinates):
1 Re 0.667 0.333 0.250
2 Re 0.000 0.000 0.250
3 Re 0.333 0.667 0.750
4 Re 0.000 0.000 0.750
5 La 0.667 0.333 0.894
6 La 0.333 0.667 0.106
7 La 0.333 0.667 0.394
8 La 0.667 0.333 0.606

Calculated formation energy in eV/atom: 0.175
Calculated volume in Å³/atom: 28.60
Magnetization in μB/atom: 0.000
E above lowest polymorph in meV per atom: 23